Computed, not measured: crystalline PrNi12Ge4 at its relaxed geometry at the PBE level of DFT.

Lattice parameters (Å, degrees): 7.957 7.957 7.957 90.00 90.00 90.00
Space group Im-3 (No. 204)
Asymmetric unit:
Pr  0.000  0.000  0.000
Ni  0.000  0.154  0.356
Ge  0.250  0.250  0.250

## Properties
Volume: 503.8 Å³ per cell
Mass density: 7.487 g/cm³
Formation energy: 0.12 eV/atom